[1]
Sm3MgTl4 after structural relaxation, computed with GGA-PBE.

Distance to the lowest polymorph of the same formula, meV/atom: 93
Formation energy, meV per atom: -202
DFT total energy, eV per atom: -3.354

```
Sm3MgTl4
1.0
-3.419 1.056 -0.311
-1.756 -3.077 8.860
4.272 7.198 -1.792
Sm Mg Tl
3 1 4
direct
0.221 0.221 0.441
0.779 0.779 0.559
0.000 0.500 0.000
0.500 0.000 0.000
0.376 0.133 0.753
0.624 0.867 0.247
0.624 0.380 0.247
0.376 0.620 0.753
```

[2]
TeRu2Se after structural relaxation, computed with GGA-PBE.

Distance to the lowest polymorph of the same formula, meV/atom: 157
DFT total energy, eV per atom: -6.069
Energy relative to the elements, uncorrected, meV per atom: 225

```
TeRu2Se
1.0
-4.545 -6.389 -5.937
-4.400 -8.157 -3.292
-6.786 -6.086 -3.695
Ru Se Te
2 1 1
direct
0.995 0.995 0.995
0.250 0.250 0.250
0.530 0.530 0.530
0.726 0.726 0.726
```

[3]
Al3Ir4 after structural relaxation, computed with GGA-PBE.

Distance to the lowest polymorph of the same formula, meV/atom: 452
Formation energy, meV per atom: 21
DFT total energy, eV per atom: -6.646

```
Al3Ir4
1.0
-4.570 1.510 -1.179
2.878 -2.105 -3.441
-1.739 -4.330 1.194
Al Ir
3 4
direct
0.000 0.500 0.000
0.500 0.500 0.000
0.500 0.000 0.000
0.000 0.000 0.255
0.000 0.000 0.745
0.667 0.333 0.500
0.333 0.667 0.500
```

[4]
Cr5Cl after structural relaxation, computed with GGA-PBE.

Distance to the lowest polymorph of the same formula, meV/atom: 53
DFT total energy, eV per atom: -7.807
Energy relative to the elements, uncorrected, meV per atom: 520

```
Cr5Cl
1.0
2.009 -4.395 0.000
2.009 4.395 0.000
0.000 0.000 4.092
Cr Cl
5 1
direct
0.791 0.209 0.500
0.636 0.364 0.000
0.448 0.552 0.500
0.314 0.686 0.000
0.129 0.871 0.500
0.017 0.983 0.000
```

[5]
Li2SmDy2Sb2 after structural relaxation, computed with GGA-PBE.

DFT total energy, eV per atom: -4.276
Energy relative to the elements, uncorrected, meV per atom: -563

```
Li2SmDy2Sb2
1.0
-3.427 3.017 1.317
-3.305 -1.376 3.125
2.860 3.433 8.150
Li Sm Dy Sb
2 1 2 2
direct
0.591 0.591 0.226
0.409 0.409 0.774
0.000 0.000 0.000
0.131 0.131 0.608
0.869 0.869 0.392
0.737 0.737 0.788
0.263 0.263 0.212
```

[6]
PrTm2Ga after structural relaxation, computed with GGA-PBE.

Distance to the lowest polymorph of the same formula, meV/atom: 69
Formation energy, meV per atom: -222
DFT total energy, eV per atom: -4.409

```
PrTm2Ga
1.0
-4.487 1.418 -0.332
-1.299 -4.406 -1.265
-0.690 -1.112 4.581
Pr Tm Ga
1 2 1
direct
0.500 0.500 0.500
0.000 0.000 0.500
0.000 0.500 0.000
0.500 0.000 0.000
```

[7]
KHfMg2B after structural relaxation, computed with GGA-PBE.

Formation energy, meV per atom: 1953
DFT total energy, eV per atom: -2.231

```
KHfMg2B
1.0
-1.271 -2.039 4.545
0.943 -4.100 -1.575
4.863 0.509 1.588
K B Hf Mg
1 1 1 2
direct
0.000 0.000 0.000
0.000 0.500 0.000
0.500 0.500 0.500
0.000 0.000 0.500
0.500 0.000 0.000
```

[8]
KMnAg after structural relaxation, computed with GGA-PBE.

Distance to the lowest polymorph of the same formula, meV/atom: 688
Formation energy, meV per atom: 1197
DFT total energy, eV per atom: -3.176

```
KMnAg
1.0
5.350 0.000 0.000
2.675 4.633 0.000
2.675 1.544 4.368
Ag K Mn
1 1 1
direct
0.500 0.500 0.500
0.250 0.250 0.250
0.000 0.000 0.000
```